# 1
Below is LaGdGa2 after structural relaxation, with properties calculated at the PBE level.

Geometry as extended XYZ:
```
4
Lattice="3.682 0.000 0.000 0.000 3.682 0.000 0.000 0.000 7.398" Properties=species:S:1:pos:R:3 pbc="T T T"
La 0.000 0.000 0.000
Gd 0.000 0.000 3.699
Ga 1.841 1.841 1.980
Ga 1.841 1.841 5.417
```

Results
- DOS at the Fermi energy (states/eV/cell) = 2.0
- SG = P4/mmm
- energy above the lowest structure with this stoichiometry (meV/atom) = 0
- total magnetization (μB per formula unit) = 7.1
- raw total energy (eV per atom) = -6.85
- energy of formation from the pure elements (eV/atom) = -0.584

***

# 2
Below is LaGd2Ga after structural relaxation, with properties calculated at the PBE level.

Geometry as extended XYZ:
```
4
Lattice="4.846 0.000 0.000 0.000 4.846 0.000 0.000 0.000 4.804" Properties=species:S:1:pos:R:3 pbc="T T T"
La 0.000 0.000 0.000
Gd 0.000 2.423 2.402
Gd 2.423 0.000 2.402
Ga 2.423 2.423 0.000
```

Results
- DOS at the Fermi energy (states/eV/cell) = 4.3
- SG = P4/mmm
- energy above the lowest structure with this stoichiometry (meV/atom) = 30
- total magnetization (μB per formula unit) = 15.4
- raw total energy (eV per atom) = -9.28
- energy of formation from the pure elements (eV/atom) = -0.254